A relaxed BaYMo2 crystal, computed with PBE.

As for the uncorrected energy: -28.31 eV/cell. Its spin magnetization is 0.0 μB per cell. The calculation puts the formation energy at 0.434 eV/atom. The energy above the most stable polymorph in this dataset is 0.000 eV/atom.

Unit cell a=3.357 b=3.357 c=9.330 alpha=90.00 beta=90.00 gamma=90.00
Sites, in units of the cell vectors:
Ba 0.000 0.000 0.000
Y 0.500 0.500 0.616
Mo 0.000 0.000 0.408
Mo 0.500 0.500 0.277